[1]
Here is a geometry-optimized Tb5Ho5Bi6 structure from Alexandria via LeMat-Bulk. Energies are from PBE-GGA.

The calculation puts the formation energy at -0.685 eV per atom. The total magnetization is 0.7 μB per formula unit.

The space group is Amm2 (No. 38) and the conventional cell measures 6.369, 15.927 and 9.173 Å, with angles of 90.00, 90.00 and 90.00 degrees. The asymmetric unit holds Tb at (0.000, 0.000, 0.000), Tb at (0.250, 0.166, 0.743), Ho at (0.000, 0.122, 0.364), Ho at (0.500, 0.000, 0.485), Ho at (0.500, 0.122, 0.121), Bi at (0.000, 0.000, 0.630), Bi at (0.000, 0.195, 0.049), Bi at (0.500, 0.000, 0.855) and Bi at (0.500, 0.194, 0.437).


[2]
Here is a geometry-optimized TbHo4Bi3 structure from Alexandria via LeMat-Bulk. Energies are from PBE-GGA.

The calculation puts the formation energy at -0.569 eV per atom. The total magnetization is 0.0 μB per formula unit.

The space group is C2/m (No. 12) and the conventional cell measures 11.891, 4.510 and 10.057 Å, with angles of 90.00, 116.18 and 90.00 degrees. The asymmetric unit holds Tb at (0.000, 0.000, 0.000), Ho at (0.125, 0.000, 0.403), Ho at (0.150, 0.500, 0.849), Bi at (0.000, 0.500, 0.500) and Bi at (0.178, 0.500, 0.209).


[3]
Here is a geometry-optimized Tb2HoBi structure from Alexandria via LeMat-Bulk. Energies are from PBE-GGA.

The calculation puts the formation energy at -0.358 eV per atom. For the energy above the most stable polymorph in this dataset, the calculation gives 0.045 eV per atom. The total magnetization is 0.0 μB per formula unit.

The space group is P4/mmm (No. 123) and the conventional cell measures 4.211, 4.211 and 6.768 Å, with angles of 90.00, 90.00 and 90.00 degrees. The asymmetric unit holds Tb at (0.000, 0.000, 0.240), Ho at (0.500, 0.500, 0.500) and Bi at (0.500, 0.500, 0.000).


[4]
Here is a geometry-optimized Tb2HoBi structure from Alexandria via LeMat-Bulk. Energies are from PBE-GGA.

The calculation puts the formation energy at -0.160 eV per atom. For the energy above the most stable polymorph in this dataset, the calculation gives 0.243 eV per atom. The total magnetization is 0.7 μB per formula unit.

The space group is R3m (No. 160, hexagonal axes) and the conventional cell measures 4.0386, 4.0386 and 28.5656 Å, with angles of 90.00, 90.00 and 120.00 degrees. The asymmetric unit holds Tb at (0.0000, 0.0000, 0.0000), Tb at (0.0000, 0.0000, 0.1916), Ho at (0.0000, 0.0000, 0.4293) and Bi at (0.0000, 0.0000, 0.5954).


[5]
Here is a geometry-optimized TbHo5Bi5 structure from Alexandria via LeMat-Bulk. Energies are from PBE-GGA.

The calculation puts the formation energy at -0.646 eV per atom. The total magnetization is 0.0 μB per formula unit.

The space group is C2/m (No. 12) and the conventional cell measures 13.878, 6.252 and 8.816 Å, with angles of 90.00, 108.42 and 90.00 degrees. The asymmetric unit holds Tb at (0.000, 0.000, 0.000), Ho at (0.000, 0.000, 0.500), Ho at (0.163, 0.500, 0.336), Ho at (0.164, 0.500, 0.828), Bi at (0.000, 0.500, 0.000), Bi at (0.167, 0.000, 0.337) and Bi at (0.170, 0.000, 0.832).


[6]
Here is a geometry-optimized Tb3HoBi4 structure from Alexandria via LeMat-Bulk. Energies are from PBE-GGA.

The calculation puts the formation energy at -0.868 eV per atom. For the energy above the most stable polymorph in this dataset, the calculation gives 0.006 eV per atom. The total magnetization is 0.0 μB per formula unit.

The space group is Cmmm (No. 65) and the conventional cell measures 8.961, 12.674 and 4.484 Å, with angles of 90.00, 90.00 and 90.00 degrees. The asymmetric unit holds Tb at (0.000, 0.000, 0.000), Tb at (0.250, 0.250, 0.500), Ho at (0.000, 0.500, 0.000), Bi at (0.000, 0.251, 0.000) and Bi at (0.249, 0.500, 0.500).


[7]
Here is a geometry-optimized TbHo5Bi6 structure from Alexandria via LeMat-Bulk. Energies are from PBE-GGA.

The calculation puts the formation energy at -0.843 eV per atom. The total magnetization is 0.0 μB per formula unit.

The space group is C2/m (No. 12) and the conventional cell measures 7.732, 13.389 and 7.729 Å, with angles of 90.00, 109.47 and 90.00 degrees. The asymmetric unit holds Tb at (0.000, 0.000, 0.000), Ho at (0.000, 0.166, 0.500), Ho at (0.000, 0.333, 0.000), Ho at (0.000, 0.500, 0.500), Bi at (0.249, 0.333, 0.749) and Bi at (0.249, 0.500, 0.250).


[8]
Here is a geometry-optimized TbHo3Bi4 structure from Alexandria via LeMat-Bulk. Energies are from PBE-GGA.

The calculation puts the formation energy at -0.852 eV per atom. The total magnetization is 0.0 μB per formula unit.

The space group is Pm-3m (No. 221) and the conventional cell measures 6.311, 6.311 and 6.311 Å, with angles of 90.00, 90.00 and 90.00 degrees. The asymmetric unit holds Tb at (0.000, 0.000, 0.000), Ho at (0.000, 0.500, 0.500), Bi at (0.000, 0.000, 0.500) and Bi at (0.500, 0.500, 0.500).


[9]
Here is a geometry-optimized TbHo2Bi2 structure from Alexandria via LeMat-Bulk. Energies are from PBE-GGA.

The calculation puts the formation energy at -0.383 eV per atom. The total magnetization is 0.0 μB per formula unit.

The space group is C2/m (No. 12) and the conventional cell measures 7.485, 6.121 and 7.280 Å, with angles of 90.00, 105.02 and 90.00 degrees. The asymmetric unit holds Tb at (0.000, 0.000, 0.000), Ho at (0.000, 0.249, 0.500) and Bi at (0.174, 0.500, 0.207).


[10]
Here is a geometry-optimized Tb5Ho2Bi4 structure from Alexandria via LeMat-Bulk. Energies are from PBE-GGA.

The calculation puts the formation energy at -0.211 eV per atom. The total magnetization is 0.0 μB per formula unit.

The space group is C2/m (No. 12) and the conventional cell measures 25.085, 3.499 and 8.163 Å, with angles of 90.00, 91.50 and 90.00 degrees. The asymmetric unit holds Tb at (0.000, 0.000, 0.000), Tb at (0.139, 0.500, 0.053), Tb at (0.175, 0.500, 0.490), Ho at (0.232, 0.000, 0.825), Bi at (0.051, 0.500, 0.313) and Bi at (0.099, 0.000, 0.737).


[11]
Here is a geometry-optimized Tb3Ho4Bi8 structure from Alexandria via LeMat-Bulk. Energies are from PBE-GGA.

The calculation puts the formation energy at -0.672 eV per atom. The total magnetization is 0.0 μB per formula unit.

The space group is C2/m (No. 12) and the conventional cell measures 12.591, 12.596 and 8.897 Å, with angles of 90.00, 134.93 and 90.00 degrees. The asymmetric unit holds Tb at (0.000, 0.000, 0.000), Tb at (0.250, 0.250, 0.000), Ho at (0.000, 0.500, 0.000), Ho at (0.000, 0.500, 0.500), Ho at (0.250, 0.250, 0.500), Bi at (0.000, 0.246, 0.500), Bi at (0.000, 0.251, 0.000), Bi at (0.246, 0.000, 0.502) and Bi at (0.247, 0.000, 0.992).


[12]
Here is a geometry-optimized TbHoBi2 structure from Alexandria via LeMat-Bulk. Energies are from PBE-GGA.

The calculation puts the formation energy at -0.859 eV per atom. For the energy above the most stable polymorph in this dataset, the calculation gives 0.000 eV per atom. The total magnetization is 0.0 μB per formula unit.

The space group is Pmmn (No. 59, origin choice 2) and the conventional cell measures 4.473, 6.323 and 8.948 Å, with angles of 90.00, 90.00 and 90.00 degrees. The asymmetric unit holds Tb at (0.250, 0.250, 0.125), Ho at (0.250, 0.250, 0.625), Bi at (0.250, 0.750, 0.127) and Bi at (0.250, 0.750, 0.623).


[13]
Here is a geometry-optimized Tb6Ho8Bi structure from Alexandria via LeMat-Bulk. Energies are from PBE-GGA.

The calculation puts the formation energy at 0.005 eV per atom. The total magnetization is 0.0 μB per formula unit.

The space group is R-3 (No. 148, hexagonal axes) and the conventional cell measures 8.6948, 8.6948 and 21.3450 Å, with angles of 90.00, 90.00 and 120.00 degrees. The asymmetric unit holds Tb at (0.0242, 0.7775, 0.2079), Ho at (0.0000, 0.0000, 0.0788), Ho at (0.0554, 0.2529, 0.6364) and Bi at (0.0000, 0.0000, 0.5000).


[14]
Here is a geometry-optimized TbHoBi2 structure from Alexandria via LeMat-Bulk. Energies are from PBE-GGA.

The calculation puts the formation energy at -0.857 eV per atom. For the energy above the most stable polymorph in this dataset, the calculation gives 0.001 eV per atom. The total magnetization is 0.0 μB per formula unit.

The space group is C2/m (No. 12) and the conventional cell measures 7.747, 4.479 and 7.746 Å, with angles of 90.00, 109.57 and 90.00 degrees. The asymmetric unit holds Tb at (0.000, 0.000, 0.000), Ho at (0.000, 0.500, 0.500) and Bi at (0.249, 0.000, 0.748).


[15]
Here is a geometry-optimized Tb2HoBi structure from Alexandria via LeMat-Bulk. Energies are from PBE-GGA.

The calculation puts the formation energy at 0.016 eV per atom. For the energy above the most stable polymorph in this dataset, the calculation gives 0.419 eV per atom. The total magnetization is 0.0 μB per formula unit.

The space group is R-3m (No. 166, hexagonal axes) and the conventional cell measures 3.5346, 3.5346 and 36.1416 Å, with angles of 90.00, 90.00 and 120.00 degrees. The asymmetric unit holds Tb at (0.0000, 0.0000, 0.0877), Ho at (0.0000, 0.0000, 0.5000) and Bi at (0.0000, 0.0000, 0.0000).


[16]
Here is a geometry-optimized TbHo4Bi2 structure from Alexandria via LeMat-Bulk. Energies are from PBE-GGA.

The calculation puts the formation energy at 0.334 eV per atom. The total magnetization is 0.0 μB per formula unit.

The space group is I4/mmm (No. 139) and the conventional cell measures 5.311, 5.311 and 16.674 Å, with angles of 90.00, 90.00 and 90.00 degrees. The asymmetric unit holds Tb at (0.000, 0.000, 0.000), Ho at (0.000, 0.000, 0.181), Ho at (0.000, 0.500, 0.000) and Bi at (0.000, 0.000, 0.365).


[17]
Here is a geometry-optimized TbHo2Bi3 structure from Alexandria via LeMat-Bulk. Energies are from PBE-GGA.

The calculation puts the formation energy at -0.851 eV per atom. The total magnetization is 0.0 μB per formula unit.

The space group is Immm (No. 71) and the conventional cell measures 4.469, 6.315 and 13.408 Å, with angles of 90.00, 90.00 and 90.00 degrees. The asymmetric unit holds Tb at (0.000, 0.000, 0.000), Ho at (0.000, 0.000, 0.334), Bi at (0.000, 0.500, 0.000) and Bi at (0.000, 0.500, 0.332).


[18]
Here is a geometry-optimized Tb4HoBi5 structure from Alexandria via LeMat-Bulk. Energies are from PBE-GGA.

The calculation puts the formation energy at -0.872 eV per atom. The total magnetization is 0.0 μB per formula unit.

The space group is I4/mmm (No. 139) and the conventional cell measures 4.483, 4.483 and 31.691 Å, with angles of 90.00, 90.00 and 90.00 degrees. The asymmetric unit holds Tb at (0.000, 0.000, 0.100), Tb at (0.000, 0.000, 0.300), Ho at (0.000, 0.000, 0.500), Bi at (0.000, 0.000, 0.000), Bi at (0.000, 0.000, 0.200) and Bi at (0.000, 0.000, 0.400).


[19]
Here is a geometry-optimized Tb2HoBi2 structure from Alexandria via LeMat-Bulk. Energies are from PBE-GGA.

The calculation puts the formation energy at -0.586 eV per atom. The total magnetization is 0.0 μB per formula unit.

The space group is P-1 (No. 2) and the conventional cell measures 4.358, 8.735 and 9.106 Å, with angles of 103.87, 103.81 and 90.00 degrees. The asymmetric unit holds Tb at (0.000, 0.250, 0.000), Tb at (0.319, 0.160, 0.640), Ho at (0.319, 0.660, 0.639), Bi at (0.135, 0.069, 0.269) and Bi at (0.136, 0.566, 0.271).


[20]
Here is a geometry-optimized Tb3HoBi4 structure from Alexandria via LeMat-Bulk. Energies are from PBE-GGA.

The calculation puts the formation energy at -0.874 eV per atom. For the energy above the most stable polymorph in this dataset, the calculation gives 0.000 eV per atom. The total magnetization is 0.0 μB per formula unit.

The space group is Pm-3m (No. 221) and the conventional cell measures 6.334, 6.334 and 6.334 Å, with angles of 90.00, 90.00 and 90.00 degrees. The asymmetric unit holds Tb at (0.000, 0.000, 0.500), Ho at (0.500, 0.500, 0.500), Bi at (0.000, 0.000, 0.000) and Bi at (0.000, 0.500, 0.500).